(1)
DFT (PBE-GGA) results for MnTlGaGe2 after structural relaxation.

a b c (Å): 4.654 4.654 4.812
angles (deg): 90.00 90.00 90.00
Space group P4/mmm (No. 123)
Symmetry-distinct sites (fractional):
Mn  0.000  0.000  0.000 (multiplicity 1)
Tl  0.500  0.500  0.500 (multiplicity 1)
Ga  0.000  0.000  0.500 (multiplicity 1)
Ge  0.000  0.500  0.000 (multiplicity 2)

Raw total energy in eV per atom: -4.648
DOS at the Fermi energy in states/eV per atom: 0.589

(2)
DFT (PBE-GGA) results for TmMn6GaGe5 after structural relaxation.

a b c (Å): 5.1557 5.1557 8.1464
angles (deg): 90.00 90.00 120.00
Space group P6mm (No. 183)
Symmetry-distinct sites (fractional):
Tm  0.0000  0.0000  0.0000 (multiplicity 1)
Mn  0.0000  0.5000  0.2550 (multiplicity 3)
Mn  0.0000  0.5000  0.7569 (multiplicity 3)
Ga  0.0000  0.0000  0.6579 (multiplicity 1)
Ge  0.0000  0.0000  0.3422 (multiplicity 1)
Ge  0.3333  0.6667  0.0049 (multiplicity 2)
Ge  0.3333  0.6667  0.5079 (multiplicity 2)

Raw total energy in eV per atom: -6.880
DOS at the Fermi energy in states/eV per atom: 0.621

(3)
DFT (PBE-GGA) results for Tm2Mn12GaGe11 after structural relaxation.

a b c (Å): 5.1597 5.1597 16.2246
angles (deg): 90.00 90.00 120.00
Space group P6mm (No. 183)
Symmetry-distinct sites (fractional):
Tm  0.0000  0.0000  0.0000 (multiplicity 1)
Tm  0.0000  0.0000  0.4989 (multiplicity 1)
Mn  0.0000  0.5000  0.1221 (multiplicity 3)
Mn  0.0000  0.5000  0.3737 (multiplicity 3)
Mn  0.0000  0.5000  0.6237 (multiplicity 3)
Mn  0.0000  0.5000  0.8733 (multiplicity 3)
Ga  0.0000  0.0000  0.1717 (multiplicity 1)
Ge  0.0000  0.0000  0.3280 (multiplicity 1)
Ge  0.0000  0.0000  0.6705 (multiplicity 1)
Ge  0.0000  0.0000  0.8277 (multiplicity 1)
Ge  0.3333  0.6667  0.2467 (multiplicity 2)
Ge  0.3333  0.6667  0.4985 (multiplicity 2)
Ge  0.3333  0.6667  0.7486 (multiplicity 2)
Ge  0.3333  0.6667  0.9984 (multiplicity 2)

Raw total energy in eV per atom: -6.953
DOS at the Fermi energy in states/eV per atom: 0.307

(4)
DFT (PBE-GGA) results for Ga2Ge2Mo after structural relaxation.

a b c (Å): 6.747 6.747 3.739
angles (deg): 90.00 90.00 90.00
Space group P4/mbm (No. 127)
Symmetry-distinct sites (fractional):
Ga  0.175  0.325  0.000 (multiplicity 4)
Ge  0.135  0.635  0.500 (multiplicity 4)
Mo  0.000  0.000  0.500 (multiplicity 2)

Raw total energy in eV per atom: -4.964
DOS at the Fermi energy in states/eV per atom: 0.481

(5)
DFT (PBE-GGA) results for Ga2Ge2Mo3 after structural relaxation.

a b c (Å): 11.047 3.332 6.448
angles (deg): 90.00 108.99 90.00
Space group C2/m (No. 12)
Symmetry-distinct sites (fractional):
Ga  0.155  0.000  0.414 (multiplicity 4)
Ge  0.063  0.500  0.722 (multiplicity 4)
Mo  0.000  0.000  0.000 (multiplicity 2)
Mo  0.239  0.500  0.150 (multiplicity 4)

Raw total energy in eV per atom: -6.839
DOS at the Fermi energy in states/eV per atom: 0.547

(6)
DFT (PBE-GGA) results for Ga2GeMo2 after structural relaxation.

a b c (Å): 6.668 6.668 3.705
angles (deg): 90.00 90.00 90.00
Space group P4/mbm (No. 127)
Symmetry-distinct sites (fractional):
Ga  0.144  0.356  0.000 (multiplicity 4)
Ge  0.000  0.000  0.500 (multiplicity 2)
Mo  0.156  0.656  0.500 (multiplicity 4)

Raw total energy in eV per atom: -6.459
DOS at the Fermi energy in states/eV per atom: 0.594

(7)
DFT (PBE-GGA) results for GaGeMo after structural relaxation.

a b c (Å): 8.969 4.657 4.893
angles (deg): 90.00 95.20 90.00
Space group Cm (No. 8)
Symmetry-distinct sites (fractional):
Ga  0.000  0.000  0.000 (multiplicity 2)
Ga  0.067  0.500  0.404 (multiplicity 2)
Ge  0.209  0.500  0.900 (multiplicity 2)
Ge  0.302  0.000  0.174 (multiplicity 2)
Mo  0.182  0.000  0.630 (multiplicity 2)
Mo  0.383  0.500  0.459 (multiplicity 2)

Raw total energy in eV per atom: -6.089
DOS at the Fermi energy in states/eV per atom: 0.311

(8)
DFT (PBE-GGA) results for GaGeMo after structural relaxation.

a b c (Å): 4.909 8.853 8.510
angles (deg): 90.00 90.00 90.00
Space group Fdd2 (No. 43)
Symmetry-distinct sites (fractional):
Ga  0.000  0.000  0.000 (multiplicity 8)
Ge  0.000  0.000  0.328 (multiplicity 8)
Mo  0.000  0.000  0.665 (multiplicity 8)

Raw total energy in eV per atom: -6.316
DOS at the Fermi energy in states/eV per atom: 0.635

(9)
DFT (PBE-GGA) results for GaGe2Mo after structural relaxation.

a b c (Å): 5.935 5.935 11.012
angles (deg): 90.00 90.00 90.00
Space group I-42d (No. 122)
Symmetry-distinct sites (fractional):
Ga  0.000  0.000  0.000 (multiplicity 4)
Ge  0.238  0.250  0.625 (multiplicity 8)
Mo  0.000  0.000  0.500 (multiplicity 4)

Raw total energy in eV per atom: -5.105
DOS at the Fermi energy in states/eV per atom: 0.693

(10)
DFT (PBE-GGA) results for GaGe3Mo after structural relaxation.

a b c (Å): 4.776 4.776 4.776
angles (deg): 90.00 90.00 90.00
Space group Pm-3m (No. 221)
Symmetry-distinct sites (fractional):
Ga  0.000  0.000  0.000 (multiplicity 1)
Ge  0.000  0.000  0.500 (multiplicity 3)
Mo  0.500  0.500  0.500 (multiplicity 1)

Raw total energy in eV per atom: -4.171
DOS at the Fermi energy in states/eV per atom: 1.291

Values for energy of formation from the pure elements, eV/atom, ordered as above
0.11, -0.29, -0.31, 0.26, -0.01, 0.01, 0.07, -0.16, 0.67, 1.37